(1)
MgTcP2 | GGA-PBE | relaxed

Unit cell a=6.736 b=6.736 c=6.736 alpha=129.91 beta=129.91 gamma=73.55
Positions (direct):
1 Mg 0.000 0.000 0.000
2 Mg 0.750 0.250 0.500
3 Tc 0.250 0.750 0.500
4 Tc 0.500 0.500 0.000
5 P 0.175 0.625 0.050
6 P 0.375 0.425 0.550
7 P 0.575 0.125 0.950
8 P 0.875 0.825 0.450

Output
N(E_F) ... 0.508 states/eV/atom
E_form ... -0.14 eV per atom
Total magnetic moment ... 0.00 μB/cell



(2)
CdHg2F | GGA-PBE | relaxed

Unit cell a=4.950 b=4.950 c=4.950 alpha=60.00 beta=60.00 gamma=60.00
Positions (direct):
1 Cd 0.000 0.000 0.000
2 Hg 0.250 0.250 0.250
3 Hg 0.750 0.750 0.750
4 F 0.500 0.500 0.500

Output
N(E_F) ... 0.210 states/eV/atom
Polymorph energy (0 for the lowest one) ... 56.0 meV per atom
Total magnetic moment ... 0.00 μB/cell
Formation energy without anion corrections ... -502 meV per atom



(3)
Mg2ZrAu2 | GGA-PBE | relaxed

Unit cell a=4.627 b=4.683 c=9.871 alpha=90.00 beta=90.00 gamma=90.00
Positions (direct):
1 Mg 0.250 0.250 0.008
2 Mg 0.250 0.250 0.325
3 Mg 0.750 0.750 0.675
4 Mg 0.750 0.750 0.992
5 Zr 0.250 0.250 0.676
6 Zr 0.750 0.750 0.324
7 Au 0.250 0.750 0.162
8 Au 0.250 0.750 0.511
9 Au 0.750 0.250 0.489
10 Au 0.750 0.250 0.838

Output
N(E_F) ... 0.778 states/eV/atom
E_form ... -0.43 eV per atom
Polymorph energy (0 for the lowest one) ... 0.0 meV per atom
Total magnetic moment ... 0.00 μB/cell



(4)
TiTlTe2 | GGA-PBE | relaxed

Unit cell a=3.518 b=3.518 c=8.577 alpha=90.00 beta=90.00 gamma=90.00
Positions (direct):
1 Ti 0.000 0.000 0.000
2 Tl 0.000 0.000 0.500
3 Te 0.500 0.500 0.190
4 Te 0.500 0.500 0.810

Output
N(E_F) ... 0.553 states/eV/atom
Total magnetic moment ... 0.67 μB/cell
Formation energy without anion corrections ... -385 meV per atom



Look up the N(E_F) of the second one.
0.210 states/eV/atom